# 1
The following is a PBE calculation of crystalline DyHo2Cu2 at its relaxed geometry, from Alexandria.

abc: 3.490 5.044 13.027
angles: 90.00 97.68 90.00
Positions (direct):
Ho1 0.770 0.250 0.540
Ho2 0.047 0.750 0.093
Dy1 0.858 0.750 0.717
Ho3 0.953 0.250 0.907
Cu1 0.641 0.750 0.280
Cu2 0.359 0.250 0.720
Cu3 0.546 0.250 0.092
Dy2 0.142 0.250 0.283
Ho4 0.230 0.750 0.460
Cu4 0.454 0.750 0.908

Calculated values
The calculation puts the polymorph energy (0 for the lowest one) at 0.000 eV per atom. As for the total magnetic moment: 0.0 μB/cell. Its electronic total energy is -4.57 eV per atom. The formation energy is -16.9 kJ per mole of atoms.

=====

# 2
The following is a PBE calculation of crystalline Dy2HoCu2 at its relaxed geometry, from Alexandria.

abc: 4.923 4.923 6.095
angles: 66.17 66.17 59.99
Positions (direct):
Dy1 0.776 0.276 0.673
Cu1 0.420 0.920 0.741
Dy2 0.224 0.724 0.327
Ho1 0.000 0.500 0.000
Cu2 0.580 0.080 0.259

Calculated values
The calculation puts the polymorph energy (0 for the lowest one) at 0.051 eV per atom. As for the total magnetic moment: 0.0 μB/cell. Its electronic total energy is -4.52 eV per atom. The formation energy is -11.6 kJ per mole of atoms.

=====

no.,DOS at the Fermi energy (states/eV/f.u.)
1,4.0
2,4.9